AlAs3 | PBE-GGA | optimized geometry

abc: 6.0806 6.0806 4.9826
angles: 90.00 90.00 120.00
With the nearest neighbours (Å) after each atom.
Fractional coordinates of all 8 atoms:
Al: 0.3333 0.6667 0.2500  12 As 2.92-3.05
Al: 0.6667 0.3333 0.7500  12 As 2.92-3.05
As: 0.8119 0.6238 0.2500  2 As 2.65, 2 Al 2.92
As: 0.3762 0.1881 0.2500  2 As 2.65, 2 Al 2.92
As: 0.8119 0.1881 0.2500  2 As 2.65, 2 Al 2.92
As: 0.1881 0.3762 0.7500  2 As 2.65, 2 Al 2.92
As: 0.6238 0.8119 0.7500  2 As 2.65, 2 Al 2.92
As: 0.1881 0.8119 0.7500  2 As 2.65, 2 Al 2.92

offset from the most stable computed form: 38.93 kJ per mole of atoms
ΔE_f: 0.303 eV/atom
N(E_F): 3.22 states/eV/cell
space group: P6_3/mmc (194)
uncorrected energy: -32.96 eV/cell

CsHfPd2 | PBE-GGA | optimized geometry

abc: 5.0578 5.0578 5.0578
angles: 60.00 60.00 60.00
With the nearest neighbours (Å) after each atom.
Fractional coordinates of all 4 atoms:
Cs: 0.0000 0.0000 0.0000  8 Pd 3.10
Hf: 0.5000 0.5000 0.5000  8 Pd 3.10
Pd: 0.2500 0.2500 0.2500  4 Hf 3.10, 4 Cs 3.10
Pd: 0.7500 0.7500 0.7500  4 Cs 3.10, 4 Hf 3.10

offset from the most stable computed form: 21.37 kJ per mole of atoms
ΔE_f: 0.524 eV/atom
N(E_F): 2.98 states/eV/cell
space group: Fm-3m (225)
uncorrected energy: -19.10 eV/cell

RbPaTe2Cl | PBE-GGA | optimized geometry

abc: 4.4481 9.4750 10.0708
angles: 105.84 90.00 90.00
With the nearest neighbours (Å) after each atom.
Fractional coordinates of all 10 atoms:
Rb: 0.2500 0.7261 0.3171  2 Cl 3.33
Rb: 0.7500 0.2739 0.6829  2 Cl 3.33
Pa: 0.2500 0.8346 0.8306  1 Cl 2.64
Pa: 0.7500 0.1654 0.1694  1 Cl 2.64
Te: 0.7500 0.8607 0.6319  2 Pa 3.05
Te: 0.7500 0.8256 0.0449  3 Pa 3.12
Te: 0.2500 0.1393 0.3681  2 Pa 3.05
Te: 0.2500 0.1744 0.9551  3 Pa 3.12
Cl: 0.2500 0.5454 0.7518  1 Pa 2.64
Cl: 0.7500 0.4546 0.2482  1 Pa 2.64

N(E_F): 11.42 states/eV/cell
space group: P2_1/m (11)
uncorrected energy: -49.76 eV/cell

NbSn2Bi | PBE-GGA | optimized geometry

abc: 3.2954 3.2954 11.0959
angles: 81.46 81.46 60.00
With the nearest neighbours (Å) after each atom.
Fractional coordinates of all 4 atoms:
Nb: 0.5000 0.5000 0.5000  6 Sn 2.98, 6 Nb 3.30
Bi: 0.0000 0.0000 0.0000  2 Sn 3.17, 6 Bi 3.30
Sn: 0.0967 0.0967 0.7099  3 Nb 2.98, 1 Bi 3.17, 6 Sn 3.30
Sn: 0.9033 0.9033 0.2901  3 Nb 2.98, 1 Bi 3.17, 6 Sn 3.30

ΔE_f: 0.092 eV/atom
N(E_F): 2.38 states/eV/cell
space group: R-3m (166)
uncorrected energy: -21.59 eV/cell

SrTm3Os | PBE-GGA | optimized geometry

abc: 5.4409 5.4409 5.4409
angles: 90.00 90.00 90.00
With the nearest neighbours (Å) after each atom.
Fractional coordinates of all 5 atoms:
Sr: 0.5000 0.5000 0.5000  12 Tm 3.85
Tm: 0.0000 0.5000 0.0000  2 Os 2.72
Tm: 0.0000 0.0000 0.5000  2 Os 2.72
Tm: 0.5000 0.0000 0.0000  2 Os 2.72
Os: 0.0000 0.0000 0.0000  6 Tm 2.72

ΔE_f: -0.102 eV/atom
N(E_F): 3.60 states/eV/cell
space group: Pm-3m (221)
uncorrected energy: -26.83 eV/cell

NaSiSe2N | PBE-GGA | optimized geometry

abc: 5.4723 5.4723 3.2041
angles: 90.00 90.00 90.00
With the nearest neighbours (Å) after each atom.
Fractional coordinates of all 5 atoms:
Na: 0.5000 0.5000 0.5000  8 Se 3.17, 2 Na 3.20
Si: 0.0000 0.0000 0.0000  2 N 1.60
Se: 0.0000 0.5000 0.0000  2 Si 2.74
Se: 0.5000 0.0000 0.0000  2 Si 2.74
N: 0.0000 0.0000 0.5000  2 Si 1.60

offset from the most stable computed form: 0.00 kJ per mole of atoms
N(E_F): 1.92 states/eV/cell
space group: P4/mmm (123)
uncorrected energy: -22.74 eV/cell